(1)
# HgBiPd

Crystalline HgBiPd at its relaxed geometry (PBE, Alexandria).

DOS(E_F) (states/eV per cell): 3.2
Raw total energy (hartree per atom): -0.1209
Magnetization (μB/cell): 0.0
ΔE to the lowest computed polymorph (meV/atom): 0

The structure in POSCAR format:
```
HgBiPd
1.0
5.411 0.000 2.536
2.700 4.819 1.280
0.674 -0.024 5.603
Hg Pd Bi
2 2 2
Direct
0.670 0.000 0.660
0.330 0.000 0.340
0.750 0.500 0.500
0.250 0.500 0.500
0.167 0.666 0.000
0.833 0.334 0.000
```

---

(2)
# HgBi2Pd8

Crystalline HgBi2Pd8 at its relaxed geometry (PBE, Alexandria).

DOS(E_F) (states/eV per cell): 5.4
Raw total energy (hartree per atom): -0.1731
Magnetization (μB/cell): 0.0
ΔE to the lowest computed polymorph (meV/atom): 8

The structure in POSCAR format:
```
HgBi2Pd8
1.0
-2.295 -1.700 3.080
1.219 -6.001 -2.404
6.491 2.605 3.411
Hg Pd Bi
1 8 2
Direct
0.500 0.000 0.000
0.414 0.545 0.829
0.142 0.193 0.285
0.037 0.731 0.074
0.858 0.807 0.715
0.674 0.916 0.349
0.326 0.084 0.651
0.586 0.455 0.171
0.963 0.269 0.926
0.210 0.663 0.420
0.790 0.337 0.580
```

---

(3)
# HgBi3Pd6

Crystalline HgBi3Pd6 at its relaxed geometry (PBE, Alexandria).

DOS(E_F) (states/eV per cell): 9.3
Raw total energy (hartree per atom): -0.1650
Magnetization (μB/cell): 0.0

The structure in POSCAR format:
```
HgBi3Pd6
1.0
-3.348 1.028 4.666
4.566 -6.202 4.643
2.941 8.495 0.238
Pd Bi Hg
12 6 2
Direct
0.831 0.363 0.637
0.055 0.366 0.329
0.555 0.329 0.366
0.563 0.976 0.024
0.063 0.024 0.976
0.542 0.497 0.944
0.542 0.056 0.503
0.331 0.637 0.363
0.042 0.944 0.497
0.555 0.634 0.671
0.042 0.503 0.056
0.055 0.671 0.634
0.378 0.294 0.074
0.878 0.706 0.926
0.878 0.074 0.294
0.378 0.926 0.706
0.798 0.642 0.358
0.298 0.358 0.642
0.844 0.184 0.816
0.344 0.816 0.184
```